Entry 1:
# Mg2CoAsH | the Alexandria database | PBE-GGA | optimized geometry
# D(E_F), states/eV/atom: 0.93
# DFT total energy, eV per atom: -3.1096
# Total magnetization, μB per formula unit: 1.0
data_Mg2CoAsH
_chemical_formula_sum 'Mg2 Co1 As1 H1'
_cell_length_a 5.080
_cell_length_b 5.080
_cell_length_c 4.309
_cell_angle_alpha 90.00
_cell_angle_beta 90.00
_cell_angle_gamma 90.00
_symmetry_space_group_name_H-M 'P 4/m m m'
_symmetry_Int_Tables_number 123
_symmetry_space_group_name_Hall '-P 4 2'
loop_
_atom_site_label
_atom_site_fract_x
_atom_site_fract_y
_atom_site_fract_z
Mg1 0.000 0.500 0.000
Co1 0.000 0.000 0.500
As1 0.000 0.000 0.000
H1 0.500 0.500 0.500

---

Entry 2:
# ReSnI2 | the Alexandria database | PBE-GGA | optimized geometry
# D(E_F), states/eV/atom: 1.25
# Raw formation energy, meV per atom: 555.1
# DFT total energy, eV per atom: -4.3327
# Energy relative to the lowest polymorph listed for this composition, meV per atom: 0
# Total magnetization, μB per formula unit: 0.0
data_ReSnI2
_chemical_formula_sum 'Re4 Sn4 I8'
_cell_length_a 9.664
_cell_length_b 9.664
_cell_length_c 5.317
_cell_angle_alpha 90.00
_cell_angle_beta 90.00
_cell_angle_gamma 90.00
_symmetry_space_group_name_H-M 'I -4 2 d'
_symmetry_Int_Tables_number 122
_symmetry_space_group_name_Hall 'I -4 2bw'
loop_
_atom_site_label
_atom_site_fract_x
_atom_site_fract_y
_atom_site_fract_z
Re1 0.000 0.000 0.000
Sn1 0.000 0.000 0.500
I1 0.114 0.750 0.125

---

Entry 3:
# La2AgSn2 | the Alexandria database | PBE-GGA | optimized geometry
# D(E_F), states/eV/atom: 0.69
# DFT total energy, eV per atom: -4.8249
# Energy relative to the lowest polymorph listed for this composition, meV per atom: 0
# Total magnetization, μB per formula unit: 0.6
# DFT formation energy, kcal/mol of atoms: -15.74
data_La2AgSn2
_chemical_formula_sum 'La8 Ag4 Sn8'
_cell_length_a 11.711
_cell_length_b 4.824
_cell_length_c 11.476
_cell_angle_alpha 90.00
_cell_angle_beta 117.43
_cell_angle_gamma 90.00
_symmetry_space_group_name_H-M 'C 1 2/m 1'
_symmetry_Int_Tables_number 12
loop_
_symmetry_equiv_pos_as_xyz
'x,y,z'
'-x,-y,-z'
'-x,y,-z'
'x,-y,z'
'x+1/2,y+1/2,z'
'-x+1/2,-y+1/2,-z'
'-x+1/2,y+1/2,-z'
'x+1/2,-y+1/2,z'
loop_
_atom_site_label
_atom_site_fract_x
_atom_site_fract_y
_atom_site_fract_z
La1 0.015 0.000 0.333
La2 0.183 0.000 0.102
Ag1 0.220 0.500 0.348
Sn1 0.025 0.500 0.882
Sn2 0.143 0.500 0.570

---

Entry 4:
# Ca2CdGeRh | the Alexandria database | PBE-GGA | optimized geometry
# D(E_F), states/eV/atom: 1.20
# DFT total energy, eV per atom: -2.7527
# Energy relative to the lowest polymorph listed for this composition, meV per atom: 997
# Total magnetization, μB per formula unit: 0.8
# DFT formation energy, kcal/mol of atoms: 14.41
data_Ca2CdGeRh
_chemical_formula_sum 'Ca2 Cd1 Ge1 Rh1'
_cell_length_a 5.716
_cell_length_b 5.716
_cell_length_c 4.752
_cell_angle_alpha 90.00
_cell_angle_beta 90.00
_cell_angle_gamma 90.00
_symmetry_space_group_name_H-M 'P 4/m m m'
_symmetry_Int_Tables_number 123
_symmetry_space_group_name_Hall '-P 4 2'
loop_
_atom_site_label
_atom_site_fract_x
_atom_site_fract_y
_atom_site_fract_z
Ca1 0.000 0.500 0.000
Cd1 0.000 0.000 0.000
Ge1 0.000 0.000 0.500
Rh1 0.500 0.500 0.500